1.
La2GdMg3Ag3: optimized geometry, GGA-PBE.

Lattice parameters (Å, degrees): 4.320 13.530 7.829 90.00 90.00 90.00
Space group Pmm2 (No. 25)
Inequivalent atoms, fractional coordinates:
La  0.000  0.000  0.000 x1
La  0.000  0.210  0.375 x2
La  0.000  0.500  0.498 x1
Gd  0.000  0.294  0.876 x2
Mg  0.500  0.000  0.345 x1
Mg  0.500  0.122  0.706 x2
Mg  0.500  0.380  0.197 x2
Mg  0.500  0.500  0.845 x1
Ag  0.000  0.000  0.583 x1
Ag  0.000  0.500  0.078 x1
Ag  0.500  0.171  0.076 x2
Ag  0.500  0.333  0.593 x2

- total energy (eV/cell) = -60.24

***

2.
LaGdSi4Ag2: optimized geometry, GGA-PBE.

Lattice parameters (Å, degrees): 4.226 4.223 17.586 90.00 90.00 90.00
Space group Amm2 (No. 38)
Inequivalent atoms, fractional coordinates:
La  0.000  0.000  0.000 x2
Gd  0.500  0.000  0.193 x2
Si  0.000  0.000  0.630 x2
Si  0.000  0.000  0.760 x2
Si  0.500  0.000  0.433 x2
Si  0.500  0.000  0.566 x2
Ag  0.000  0.000  0.343 x2
Ag  0.500  0.000  0.846 x2

- total energy (eV/cell) = -82.14

***

3.
La2GdAg4Sn4: optimized geometry, GGA-PBE.

Lattice parameters (Å, degrees): 4.757 7.335 15.695 90.00 90.00 90.00
Space group Immm (No. 71)
Inequivalent atoms, fractional coordinates:
La  0.000  0.000  0.130 x4
Gd  0.000  0.500  0.000 x2
Ag  0.000  0.195  0.329 x8
Sn  0.000  0.300  0.500 x4
Sn  0.000  0.500  0.213 x4

- total energy (eV/cell) = -96.09

***

4.
LaGdAg2Sn2: optimized geometry, GGA-PBE.

Lattice parameters (Å, degrees): 4.7921 4.7921 7.6050 90.00 90.00 120.00
Space group P3m1 (No. 156)
Inequivalent atoms, fractional coordinates:
La  0.0000  0.0000  0.0000 x1
Gd  0.0000  0.0000  0.5016 x1
Ag  0.3333  0.6667  0.6876 x1
Ag  0.6667  0.3333  0.2163 x1
Sn  0.3333  0.6667  0.2867 x1
Sn  0.6667  0.3333  0.7737 x1

- total energy (eV/cell) = -27.05

***

5.
La2GdZn3Ag3: optimized geometry, GGA-PBE.

Lattice parameters (Å, degrees): 4.182 13.158 7.566 90.00 90.00 90.00
Space group Amm2 (No. 38)
Inequivalent atoms, fractional coordinates:
La  0.000  0.207  0.000 x4
Gd  0.000  0.000  0.381 x2
Zn  0.500  0.000  0.039 x2
Zn  0.500  0.119  0.670 x4
Ag  0.000  0.000  0.788 x2
Ag  0.500  0.161  0.297 x4

- total energy (eV/cell) = -58.90

***

6.
GdLuAg: optimized geometry, GGA-PBE.

Lattice parameters (Å, degrees): 6.879 6.879 6.879 90.00 90.00 90.00
Space group F-43m (No. 216)
Inequivalent atoms, fractional coordinates:
Gd  0.000  0.000  0.000 x4
Lu  0.250  0.250  0.750 x4
Ag  0.000  0.000  0.500 x4

- total energy (eV/cell) = -41.80

***

7.
NdGd2Mg3Ag3: optimized geometry, GGA-PBE.

Lattice parameters (Å, degrees): 4.261 13.341 7.686 90.00 90.00 90.00
Space group Amm2 (No. 38)
Inequivalent atoms, fractional coordinates:
Nd  0.000  0.000  0.000 x2
Gd  0.000  0.208  0.623 x4
Mg  0.500  0.000  0.656 x2
Mg  0.500  0.122  0.295 x4
Ag  0.000  0.000  0.418 x2
Ag  0.500  0.169  0.913 x4

- total energy (eV/cell) = -59.34

***

8.
Nd2GdMg3Ag3: optimized geometry, GGA-PBE.

Lattice parameters (Å, degrees): 4.289 13.408 7.738 90.00 90.00 90.00
Space group Amm2 (No. 38)
Inequivalent atoms, fractional coordinates:
Nd  0.000  0.208  0.000 x4
Gd  0.000  0.000  0.376 x2
Mg  0.500  0.000  0.034 x2
Mg  0.500  0.120  0.670 x4
Ag  0.000  0.000  0.788 x2
Ag  0.500  0.163  0.294 x4

- total energy (eV/cell) = -59.50